1.
# GGA-PBE TmBeCoGe2, relaxed
# density = 8.27 g/cm³
# total magnetization = 0.00 μB per formula unit
# calculated volume = 15.3 A^3/atom
# ΔE_f = -11.00 kcal/mol of atoms
data_TmBeCoGe2
_symmetry_space_group_name_H-M 'P 1'
_symmetry_Int_Tables_number 1
_symmetry_space_group_name_Hall 'P 1'
_cell_length_a 3.8689
_cell_length_b 3.8689
_cell_length_c 5.8103
_cell_angle_alpha 109.45
_cell_angle_beta 109.45
_cell_angle_gamma 90.00
loop_
_atom_site_label
_atom_site_fract_x
_atom_site_fract_y
_atom_site_fract_z
Ge1 0.6234 0.6234 0.2468
Ge2 0.3766 0.3766 0.7532
Be1 0.7500 0.2500 0.5000
Tm1 0.0000 0.0000 0.0000
Co1 0.2500 0.7500 0.5000


2.
# GGA-PBE CeHoPdPb, relaxed
# density = 9.88 g/cm³
# total magnetization = 1.20 μB per formula unit
# calculated volume = 26.0 A^3/atom
# ΔE_f = -11.41 kcal/mol of atoms
data_CeHoPdPb
_symmetry_space_group_name_H-M 'P 1'
_symmetry_Int_Tables_number 1
_symmetry_space_group_name_Hall 'P 1'
_cell_length_a 5.2784
_cell_length_b 5.2784
_cell_length_c 5.2784
_cell_angle_alpha 60.00
_cell_angle_beta 60.00
_cell_angle_gamma 60.00
loop_
_atom_site_label
_atom_site_fract_x
_atom_site_fract_y
_atom_site_fract_z
Pb1 0.5000 0.5000 0.5000
Pd1 0.0000 0.0000 0.0000
Ce1 0.7500 0.7500 0.7500
Ho1 0.2500 0.2500 0.2500


3.
# GGA-PBE KBaPuO4, relaxed
# density = 6.27 g/cm³
# total magnetization = 3.00 μB per formula unit
# calculated volume = 18.3 A^3/atom
# raw formation energy = -2.630 eV/atom
data_KBaPuO4
_symmetry_space_group_name_H-M 'P 1'
_symmetry_Int_Tables_number 1
_symmetry_space_group_name_Hall 'P 1'
_cell_length_a 4.3876
_cell_length_b 4.3876
_cell_length_c 7.3506
_cell_angle_alpha 107.36
_cell_angle_beta 107.36
_cell_angle_gamma 90.00
loop_
_atom_site_label
_atom_site_fract_x
_atom_site_fract_y
_atom_site_fract_z
K1 0.6480 0.6480 0.2959
Pu1 0.0044 0.0044 0.0087
O1 0.1558 0.1558 0.3116
O2 0.8500 0.8500 0.7000
O3 0.4935 0.9935 0.9871
O4 0.9935 0.4935 0.9871
Ba1 0.3548 0.3548 0.7096


4.
# GGA-PBE SmThCN, relaxed
# density = 9.43 g/cm³
# total magnetization = 0.00 μB per formula unit
# calculated volume = 18.0 A^3/atom
# raw formation energy = -0.856 eV/atom
data_SmThCN
_symmetry_space_group_name_H-M 'P 1'
_symmetry_Int_Tables_number 1
_symmetry_space_group_name_Hall 'P 1'
_cell_length_a 3.7182
_cell_length_b 3.7182
_cell_length_c 6.3785
_cell_angle_alpha 73.05
_cell_angle_beta 73.05
_cell_angle_gamma 60.00
loop_
_atom_site_label
_atom_site_fract_x
_atom_site_fract_y
_atom_site_fract_z
N1 0.1985 0.1985 0.4046
Sm1 0.4436 0.4436 0.6691
Th1 0.9430 0.9430 0.1709
C1 0.6913 0.6913 0.9261


5.
# GGA-PBE Sr2ZnGeN, relaxed
# density = 4.75 g/cm³
# energy above the lowest structure with this stoichiometry = 110 meV per atom
# total magnetization = 0.00 μB per formula unit
# calculated volume = 22.9 A^3/atom
# raw formation energy = -0.419 eV/atom
data_Sr2ZnGeN
_symmetry_space_group_name_H-M 'P 1'
_symmetry_Int_Tables_number 1
_symmetry_space_group_name_Hall 'P 1'
_cell_length_a 5.4821
_cell_length_b 5.4821
_cell_length_c 3.8069
_cell_angle_alpha 90.00
_cell_angle_beta 90.00
_cell_angle_gamma 90.00
loop_
_atom_site_label
_atom_site_fract_x
_atom_site_fract_y
_atom_site_fract_z
Sr1 0.5000 0.0000 0.0000
Sr2 0.0000 0.5000 0.0000
N1 0.0000 0.0000 0.0000
Zn1 0.0000 0.0000 0.5000
Ge1 0.5000 0.5000 0.5000


6.
# GGA-PBE Ba3Ru5, relaxed
# density = 6.54 g/cm³
# total magnetization = 0.94 μB per formula unit
# calculated volume = 29.1 A^3/atom
# ΔE_f = 15.48 kcal/mol of atoms
data_Ba3Ru5
_symmetry_space_group_name_H-M 'P 1'
_symmetry_Int_Tables_number 1
_symmetry_space_group_name_Hall 'P 1'
_cell_length_a 10.8070
_cell_length_b 10.8070
_cell_length_c 4.6030
_cell_angle_alpha 90.00
_cell_angle_beta 90.00
_cell_angle_gamma 120.00
loop_
_atom_site_label
_atom_site_fract_x
_atom_site_fract_y
_atom_site_fract_z
Ba1 0.6392 0.0000 0.2500
Ba2 0.0000 0.6392 0.2500
Ba3 0.6392 0.6392 0.7500
Ba4 0.3608 0.3608 0.2500
Ba5 0.3608 0.0000 0.7500
Ba6 0.0000 0.3608 0.7500
Ru1 0.6667 0.3333 0.5000
Ru2 0.0000 0.8697 0.7500
Ru3 0.1303 0.1303 0.7500
Ru4 0.6667 0.3333 0.0000
Ru5 0.0000 0.1303 0.2500
Ru6 0.3333 0.6667 0.0000
Ru7 0.8697 0.0000 0.7500
Ru8 0.3333 0.6667 0.5000
Ru9 0.8697 0.8697 0.2500
Ru10 0.1303 0.0000 0.2500


7.
# GGA-PBE RbTmMgTe3, relaxed
# density = 4.81 g/cm³
# total magnetization = 0.00 μB per formula unit
# calculated volume = 38.1 A^3/atom
# raw formation energy = -1.192 eV/atom
data_RbTmMgTe3
_symmetry_space_group_name_H-M 'P 1'
_symmetry_Int_Tables_number 1
_symmetry_space_group_name_Hall 'P 1'
_cell_length_a 4.5041
_cell_length_b 9.8938
_cell_length_c 10.8979
_cell_angle_alpha 109.91
_cell_angle_beta 90.00
_cell_angle_gamma 90.00
loop_
_atom_site_label
_atom_site_fract_x
_atom_site_fract_y
_atom_site_fract_z
Te1 0.2500 0.1177 0.8705
Te2 0.7500 0.8823 0.1295
Te3 0.2500 0.7835 0.4551
Te4 0.2500 0.5306 0.8411
Te5 0.7500 0.2165 0.5449
Te6 0.7500 0.4694 0.1589
Tm1 0.2500 0.6682 0.1334
Tm2 0.7500 0.3318 0.8666
Rb1 0.7500 0.7866 0.7612
Rb2 0.2500 0.2134 0.2388
Mg1 0.2500 0.0845 0.6101
Mg2 0.7500 0.9155 0.3899


8.
# GGA-PBE BaLaHg3, relaxed
# density = 6.91 g/cm³
# energy above the lowest structure with this stoichiometry = 402 meV per atom
# total magnetization = 0.00 μB per formula unit
# calculated volume = 42.2 A^3/atom
# ΔE_f = -1.76 kcal/mol of atoms
data_BaLaHg3
_symmetry_space_group_name_H-M 'P 1'
_symmetry_Int_Tables_number 1
_symmetry_space_group_name_Hall 'P 1'
_cell_length_a 5.9523
_cell_length_b 5.9523
_cell_length_c 5.9523
_cell_angle_alpha 90.00
_cell_angle_beta 90.00
_cell_angle_gamma 90.00
loop_
_atom_site_label
_atom_site_fract_x
_atom_site_fract_y
_atom_site_fract_z
Hg1 0.5000 0.0000 0.0000
Hg2 0.0000 0.0000 0.5000
Hg3 0.0000 0.5000 0.0000
Ba1 0.5000 0.5000 0.5000
La1 0.0000 0.0000 0.0000


9.
# GGA-PBE Cr3GeC, relaxed
# density = 7.05 g/cm³
# total magnetization = 0.32 μB per formula unit
# calculated volume = 11.3 A^3/atom
# ΔE_f = -1.86 kcal/mol of atoms
data_Cr3GeC
_symmetry_space_group_name_H-M 'P 1'
_symmetry_Int_Tables_number 1
_symmetry_space_group_name_Hall 'P 1'
_cell_length_a 2.8773
_cell_length_b 5.3487
_cell_length_c 7.6428
_cell_angle_alpha 90.00
_cell_angle_beta 90.00
_cell_angle_gamma 105.57
loop_
_atom_site_label
_atom_site_fract_x
_atom_site_fract_y
_atom_site_fract_z
Ge1 0.7612 0.5228 0.7500
Ge2 0.2388 0.4772 0.2500
C1 0.5000 0.0000 0.0000
C2 0.5000 0.0000 0.5000
Cr1 0.1243 0.2500 0.5463
Cr2 0.5306 0.0609 0.2500
Cr3 0.8757 0.7499 0.4537
Cr4 0.1243 0.2500 0.9537
Cr5 0.4694 0.9390 0.7500
Cr6 0.8757 0.7499 0.0463


10.
# GGA-PBE BeGa2Sn, relaxed
# density = 5.57 g/cm³
# energy above the lowest structure with this stoichiometry = 0 meV per atom
# total magnetization = 0.00 μB per formula unit
# calculated volume = 19.9 A^3/atom
# ΔE_f = 4.53 kcal/mol of atoms
data_BeGa2Sn
_symmetry_space_group_name_H-M 'P 1'
_symmetry_Int_Tables_number 1
_symmetry_space_group_name_Hall 'P 1'
_cell_length_a 4.5494
_cell_length_b 4.5494
_cell_length_c 8.3478
_cell_angle_alpha 74.19
_cell_angle_beta 74.19
_cell_angle_gamma 90.00
loop_
_atom_site_label
_atom_site_fract_x
_atom_site_fract_y
_atom_site_fract_z
Ga1 0.3750 0.4714 0.7500
Ga2 0.8750 0.7786 0.7500
Ga3 0.5286 0.1250 0.2500
Ga4 0.2214 0.6250 0.2500
Be1 0.5000 0.5000 0.0000
Be2 0.2500 0.7500 0.5000
Sn1 0.0000 0.0000 0.0000
Sn2 0.7500 0.2500 0.5000


11.
# GGA-PBE Nb4HgI7, relaxed
# density = 5.18 g/cm³
# total magnetization = 1.60 μB per formula unit
# calculated volume = 39.0 A^3/atom
# raw formation energy = -0.081 eV/atom
data_Nb4HgI7
_symmetry_space_group_name_H-M 'P 1'
_symmetry_Int_Tables_number 1
_symmetry_space_group_name_Hall 'P 1'
_cell_length_a 5.1094
_cell_length_b 9.1316
_cell_length_c 20.0875
_cell_angle_alpha 89.99
_cell_angle_beta 90.00
_cell_angle_gamma 90.60
loop_
_atom_site_label
_atom_site_fract_x
_atom_site_fract_y
_atom_site_fract_z
Nb1 0.5139 0.0600 0.7644
Nb2 0.5101 0.8491 0.8563
Nb3 0.5101 0.8492 0.1437
Nb4 0.0117 0.9401 0.7356
Nb5 0.0117 0.9401 0.2644
Nb6 0.0156 0.1509 0.3563
Nb7 0.5139 0.0600 0.2356
Nb8 0.0156 0.1509 0.6437
I1 0.0180 0.2455 0.7766
I2 0.5089 0.7659 0.0000
I3 0.5081 0.7545 0.2766
I4 0.5081 0.7545 0.7234
I5 0.0180 0.2455 0.2233
I6 0.5164 0.1343 0.0974
I7 0.0102 0.8658 0.5974
I8 0.0167 0.2343 0.5000
I9 0.5184 0.2932 0.6417
I10 0.5165 0.1342 0.9025
I11 0.5183 0.2932 0.3583
I12 0.0074 0.7069 0.1417
I13 0.0102 0.8658 0.4026
I14 0.0074 0.7069 0.8584
Hg1 0.5100 0.5912 0.5000
Hg2 0.0146 0.4082 0.0000


Repeat the ninth record exactly.
# GGA-PBE Cr3GeC, relaxed
# density = 7.05 g/cm³
# total magnetization = 0.32 μB per formula unit
# calculated volume = 11.3 A^3/atom
# ΔE_f = -1.86 kcal/mol of atoms
data_Cr3GeC
_symmetry_space_group_name_H-M 'P 1'
_symmetry_Int_Tables_number 1
_symmetry_space_group_name_Hall 'P 1'
_cell_length_a 2.8773
_cell_length_b 5.3487
_cell_length_c 7.6428
_cell_angle_alpha 90.00
_cell_angle_beta 90.00
_cell_angle_gamma 105.57
loop_
_atom_site_label
_atom_site_fract_x
_atom_site_fract_y
_atom_site_fract_z
Ge1 0.7612 0.5228 0.7500
Ge2 0.2388 0.4772 0.2500
C1 0.5000 0.0000 0.0000
C2 0.5000 0.0000 0.5000
Cr1 0.1243 0.2500 0.5463
Cr2 0.5306 0.0609 0.2500
Cr3 0.8757 0.7499 0.4537
Cr4 0.1243 0.2500 0.9537
Cr5 0.4694 0.9390 0.7500
Cr6 0.8757 0.7499 0.0463


Copy entry 1 word for word.
# GGA-PBE TmBeCoGe2, relaxed
# density = 8.27 g/cm³
# total magnetization = 0.00 μB per formula unit
# calculated volume = 15.3 A^3/atom
# ΔE_f = -11.00 kcal/mol of atoms
data_TmBeCoGe2
_symmetry_space_group_name_H-M 'P 1'
_symmetry_Int_Tables_number 1
_symmetry_space_group_name_Hall 'P 1'
_cell_length_a 3.8689
_cell_length_b 3.8689
_cell_length_c 5.8103
_cell_angle_alpha 109.45
_cell_angle_beta 109.45
_cell_angle_gamma 90.00
loop_
_atom_site_label
_atom_site_fract_x
_atom_site_fract_y
_atom_site_fract_z
Ge1 0.6234 0.6234 0.2468
Ge2 0.3766 0.3766 0.7532
Be1 0.7500 0.2500 0.5000
Tm1 0.0000 0.0000 0.0000
Co1 0.2500 0.7500 0.5000